# Y2Hf2Pt

A relaxed structure of Y2Hf2Pt (GGA-PBE, Alexandria via LeMat-Bulk).

Lattice parameters (Å, degrees): 7.1413 7.1413 5.0392 90.00 90.00 90.00
Closest atoms and distances in Å follow each position.
Space group P4/mbm (No. 127)
Unique sites:
1 Y 0.1546 0.3454 0.0000 x4  2 Pt 2.70
2 Hf 0.1472 0.6472 0.5000 x4  1 Hf 2.97, 6 Y 3.22-3.32
3 Pt 0.0000 0.0000 0.0000 x2  4 Y 2.70

## Properties
Calculated total energy, eV for the cell shown: -76.9
ΔE_f, meV per atom: 83.9